# PBE-GGA TiCSe2, optimized geometry
# Fermi-level density of states (states/eV/cell): 9.01
# Uncorrected energy (eV/cell): -65.28
data_TiCSe2
_space_group_name_H-M_alt 'R -3 m'
_space_group_IT_number 166
_space_group_name_Hall '-R 3 2"'
_cell_length_a 3.4629
_cell_length_b 3.4629
_cell_length_c 20.6685
_cell_angle_alpha 90.00
_cell_angle_beta 90.00
_cell_angle_gamma 120.00
loop_
_atom_site_label
_atom_site_type_symbol
_atom_site_fract_x
_atom_site_fract_y
_atom_site_fract_z
Ti1 Ti 0.0000 0.0000 0.0000
C1 C 0.0000 0.0000 0.5000
Se1 Se 0.0000 0.0000 0.4135

# PBE-GGA Ti3CSe, optimized geometry
# Energy above the most stable polymorph in this dataset (kJ/mol of formula units): 138
# Fermi-level density of states (states/eV/cell): 12.52
data_Ti3CSe
_space_group_name_H-M_alt 'C m c 21'
_space_group_IT_number 36
_cell_length_a 3.239
_cell_length_b 13.454
_cell_length_c 6.615
_cell_angle_alpha 90.00
_cell_angle_beta 90.00
_cell_angle_gamma 90.00
loop_
_space_group_symop_operation_xyz
'x,y,z'
'-x,-y,z+1/2'
'-x,y,z'
'x,-y,z+1/2'
'x+1/2,y+1/2,z'
'-x+1/2,-y+1/2,z+1/2'
'-x+1/2,y+1/2,z'
'x+1/2,-y+1/2,z+1/2'
loop_
_atom_site_label
_atom_site_type_symbol
_atom_site_fract_x
_atom_site_fract_y
_atom_site_fract_z
Ti1 Ti 0.000 0.060 0.000
Ti2 Ti 0.000 0.230 0.569
Ti3 Ti 0.000 0.391 0.818
C1 C 0.000 0.191 0.211
Se1 Se 0.000 0.423 0.194

# PBE-GGA Ti8C3Se2, optimized geometry
# Fermi-level density of states (states/eV/cell): 19.58
# Uncorrected energy (eV/cell): -213.34
data_Ti8C3Se2
_space_group_name_H-M_alt 'C 1 2/m 1'
_space_group_IT_number 12
_cell_length_a 11.981
_cell_length_b 6.347
_cell_length_c 5.542
_cell_angle_alpha 90.00
_cell_angle_beta 107.35
_cell_angle_gamma 90.00
loop_
_space_group_symop_operation_xyz
'x,y,z'
'-x,-y,-z'
'-x,y,-z'
'x,-y,z'
'x+1/2,y+1/2,z'
'-x+1/2,-y+1/2,-z'
'-x+1/2,y+1/2,-z'
'x+1/2,-y+1/2,z'
loop_
_atom_site_label
_atom_site_type_symbol
_atom_site_fract_x
_atom_site_fract_y
_atom_site_fract_z
Ti1 Ti 0.092 0.000 0.412
Ti2 Ti 0.095 0.500 0.390
Ti3 Ti 0.097 0.256 0.891
C1 C 0.000 0.258 0.500
C2 C 0.000 0.500 0.000
Se1 Se 0.244 0.000 0.183

# PBE-GGA TiC2Se, optimized geometry
# Fermi-level density of states (states/eV/cell): 3.36
# Uncorrected energy (eV/cell): -104.52
data_TiC2Se
_space_group_name_H-M_alt 'I -4 2 d'
_space_group_IT_number 122
_space_group_name_Hall 'I -4 2bw'
_cell_length_a 4.851
_cell_length_b 4.851
_cell_length_c 9.587
_cell_angle_alpha 90.00
_cell_angle_beta 90.00
_cell_angle_gamma 90.00
loop_
_atom_site_label
_atom_site_type_symbol
_atom_site_fract_x
_atom_site_fract_y
_atom_site_fract_z
Ti1 Ti 0.000 0.000 0.000
C1 C 0.243 0.250 0.125
Se1 Se 0.000 0.000 0.500

# PBE-GGA TiC3Se, optimized geometry
# Energy above the most stable polymorph in this dataset (kJ/mol of formula units): 68
# Fermi-level density of states (states/eV/cell): 3.23
data_TiC3Se
_space_group_name_H-M_alt 'P m -3 m'
_space_group_IT_number 221
_space_group_name_Hall '-P 4 2 3'
_cell_length_a 3.846
_cell_length_b 3.846
_cell_length_c 3.846
_cell_angle_alpha 90.00
_cell_angle_beta 90.00
_cell_angle_gamma 90.00
loop_
_atom_site_label
_atom_site_type_symbol
_atom_site_fract_x
_atom_site_fract_y
_atom_site_fract_z
Ti1 Ti 0.000 0.000 0.000
C1 C 0.000 0.500 0.500
Se1 Se 0.500 0.500 0.500

# PBE-GGA Ti5CSe5, optimized geometry
# Fermi-level density of states (states/eV/cell): 11.65
# Uncorrected energy (eV/cell): -155.00
data_Ti5CSe5
_space_group_name_H-M_alt 'C 1 2/m 1'
_space_group_IT_number 12
_cell_length_a 11.441
_cell_length_b 4.990
_cell_length_c 7.236
_cell_angle_alpha 90.00
_cell_angle_beta 108.21
_cell_angle_gamma 90.00
loop_
_space_group_symop_operation_xyz
'x,y,z'
'-x,-y,-z'
'-x,y,-z'
'x,-y,z'
'x+1/2,y+1/2,z'
'-x+1/2,-y+1/2,-z'
'-x+1/2,y+1/2,-z'
'x+1/2,-y+1/2,z'
loop_
_atom_site_label
_atom_site_type_symbol
_atom_site_fract_x
_atom_site_fract_y
_atom_site_fract_z
Ti1 Ti 0.000 0.000 0.000
Ti2 Ti 0.129 0.500 0.272
Ti3 Ti 0.136 0.500 0.862
C1 C 0.000 0.500 0.000
Se1 Se 0.000 0.500 0.500
Se2 Se 0.170 0.000 0.825
Se3 Se 0.178 0.000 0.329

# PBE-GGA TiC3Se, optimized geometry
# Energy above the most stable polymorph in this dataset (kJ/mol of formula units): 0
# Fermi-level density of states (states/eV/cell): 3.48
data_TiC3Se
_space_group_name_H-M_alt 'P m -3 m'
_space_group_IT_number 221
_space_group_name_Hall '-P 4 2 3'
_cell_length_a 4.122
_cell_length_b 4.122
_cell_length_c 4.122
_cell_angle_alpha 90.00
_cell_angle_beta 90.00
_cell_angle_gamma 90.00
loop_
_atom_site_label
_atom_site_type_symbol
_atom_site_fract_x
_atom_site_fract_y
_atom_site_fract_z
Ti1 Ti 0.000 0.000 0.000
C1 C 0.000 0.000 0.500
Se1 Se 0.500 0.500 0.500

# PBE-GGA Ti6CSe2, optimized geometry
# Energy above the most stable polymorph in this dataset (kJ/mol of formula units): 0
# Fermi-level density of states (states/eV/cell): 13.83
data_Ti6CSe2
_space_group_name_H-M_alt 'C 1 2/m 1'
_space_group_IT_number 12
_cell_length_a 10.222
_cell_length_b 3.313
_cell_length_c 7.966
_cell_angle_alpha 90.00
_cell_angle_beta 90.54
_cell_angle_gamma 90.00
loop_
_space_group_symop_operation_xyz
'x,y,z'
'-x,-y,-z'
'-x,y,-z'
'x,-y,z'
'x+1/2,y+1/2,z'
'-x+1/2,-y+1/2,-z'
'-x+1/2,y+1/2,-z'
'x+1/2,-y+1/2,z'
loop_
_atom_site_label
_atom_site_type_symbol
_atom_site_fract_x
_atom_site_fract_y
_atom_site_fract_z
Ti1 Ti 0.046 0.000 0.239
Ti2 Ti 0.130 0.500 0.545
Ti3 Ti 0.138 0.500 0.946
C1 C 0.000 0.000 0.500
Se1 Se 0.249 0.500 0.250

# PBE-GGA TiCSe2, optimized geometry
# Fermi-level density of states (states/eV/cell): 6.04
# Uncorrected energy (eV/cell): -85.58
data_TiCSe2
_space_group_name_H-M_alt 'I -4 2 d'
_space_group_IT_number 122
_space_group_name_Hall 'I -4 2bw'
_cell_length_a 5.469
_cell_length_b 5.469
_cell_length_c 10.569
_cell_angle_alpha 90.00
_cell_angle_beta 90.00
_cell_angle_gamma 90.00
loop_
_atom_site_label
_atom_site_type_symbol
_atom_site_fract_x
_atom_site_fract_y
_atom_site_fract_z
Ti1 Ti 0.000 0.000 0.000
C1 C 0.000 0.000 0.500
Se1 Se 0.198 0.250 0.625

# PBE-GGA TiCSe3, optimized geometry
# Energy above the most stable polymorph in this dataset (kJ/mol of formula units): 0
# Fermi-level density of states (states/eV/cell): 3.44
data_TiCSe3
_space_group_name_H-M_alt 'P m -3 m'
_space_group_IT_number 221
_space_group_name_Hall '-P 4 2 3'
_cell_length_a 4.367
_cell_length_b 4.367
_cell_length_c 4.367
_cell_angle_alpha 90.00
_cell_angle_beta 90.00
_cell_angle_gamma 90.00
loop_
_atom_site_label
_atom_site_type_symbol
_atom_site_fract_x
_atom_site_fract_y
_atom_site_fract_z
Ti1 Ti 0.000 0.000 0.000
C1 C 0.500 0.500 0.500
Se1 Se 0.000 0.500 0.500

- Look up the Fermi-level density of states of the second one.
  12.52 states/eV/cell